Density functional theory data (PBE-GGA) for a geometry-optimized LiCa2Mn structure.

Unit cell a=5.369 b=5.369 c=6.581 alpha=80.83 beta=80.83 gamma=38.55
Site moments in Bohr magnetons follow the coordinates.
Element x y z (fractional)
Ca (0.993, 0.993, 0.015)  -0.08
Ca (0.507, 0.507, 0.485)  -0.08
Li (0.750, 0.750, 0.750)  -0.03
Mn (0.250, 0.250, 0.250)  3.89

Computed properties:
E_form	1.71	eV/f.u.
final energy	-13.4	eV for the cell shown
calculated density	2.02	Mg/m³
space-group type	No. 12

Density functional theory data (PBE-GGA) for a geometry-optimized FeTc2Pt structure.

Unit cell a=4.346 b=4.346 c=4.346 alpha=60.00 beta=60.00 gamma=60.00
Site moments in Bohr magnetons follow the coordinates.
Element x y z (fractional)
Fe (0.500, 0.500, 0.500)  2.73
Pt (0.750, 0.750, 0.750)  -0.15
Tc (0.000, 0.000, 0.000)  -0.98
Tc (0.250, 0.250, 0.250)  0.33

Computed properties:
polymorph energy (0 for the lowest one)	243	meV per atom
E_form	0.74	eV/f.u.
final energy	-34.5	eV for the cell shown
calculated density	12.78	Mg/m³
space-group type	No. 216

Density functional theory data (PBE-GGA) for a geometry-optimized NdCo3B3 structure.

Unit cell a=7.209 b=7.209 c=7.209 alpha=90.00 beta=90.00 gamma=90.00
Element x y z (fractional)
Nd (0.063, 0.563, 0.937)
Nd (0.937, 0.063, 0.563)
Nd (0.437, 0.437, 0.437)
Nd (0.563, 0.937, 0.063)
Co (0.820, 0.320, 0.180)
Co (0.988, 0.988, 0.988)
Co (0.841, 0.659, 0.341)
Co (0.180, 0.820, 0.320)
Co (0.159, 0.159, 0.159)
Co (0.341, 0.841, 0.659)
Co (0.012, 0.488, 0.512)
Co (0.320, 0.180, 0.820)
Co (0.659, 0.341, 0.841)
Co (0.680, 0.680, 0.680)
Co (0.512, 0.012, 0.488)
Co (0.488, 0.512, 0.012)
B (0.691, 0.560, 0.161)
B (0.940, 0.839, 0.191)
B (0.161, 0.691, 0.560)
B (0.060, 0.339, 0.309)
B (0.309, 0.060, 0.339)
B (0.191, 0.940, 0.839)
B (0.839, 0.191, 0.940)
B (0.440, 0.661, 0.809)
B (0.339, 0.309, 0.060)
B (0.560, 0.161, 0.691)
B (0.809, 0.440, 0.661)
B (0.661, 0.809, 0.440)

Computed properties:
E_form	-0.03	eV/f.u.
final energy	-184.6	eV for the cell shown
calculated density	6.27	Mg/m³
space-group type	No. 198

Density functional theory data (PBE-GGA) for a geometry-optimized LaFeAg2 structure.

Unit cell a=5.596 b=5.596 c=5.596 alpha=136.71 beta=136.71 gamma=62.89
Site moments in Bohr magnetons follow the coordinates.
Element x y z (fractional)
Ag (0.000, 0.000, 0.000)  -0.05
Ag (0.500, 0.500, 0.000)  -0.05
Fe (0.250, 0.750, 0.500)  2.12
La (0.750, 0.250, 0.500)  -0.23

Computed properties:
E_form	0.77	eV/f.u.
final energy	-18.3	eV for the cell shown
calculated density	8.38	Mg/m³
space-group type	No. 139

Density functional theory data (PBE-GGA) for a geometry-optimized YAgSn2Se4 structure.

Unit cell a=4.190 b=7.402 c=7.174 alpha=70.57 beta=90.00 gamma=90.00
Element x y z (fractional)
Y (0.000, 0.500, 0.500)
Ag (0.500, 0.500, 0.000)
Sn (0.000, 0.000, 0.000)
Sn (0.500, 0.000, 0.500)
Se (0.000, 0.735, 0.752)
Se (0.000, 0.265, 0.248)
Se (0.500, 0.737, 0.260)
Se (0.500, 0.263, 0.740)

Computed properties:
final energy	-37.4	eV for the cell shown
formation energy from raw total energies	-0.7639	eV/atom
calculated density	5.94	Mg/m³
space-group type	No. 10

Density functional theory data (PBE-GGA) for a geometry-optimized MgCr2Ag structure.

Unit cell a=4.993 b=4.993 c=4.801 alpha=70.06 beta=70.06 gamma=36.25
Site moments in Bohr magnetons follow the coordinates.
Element x y z (fractional)
Ag (0.255, 0.255, 0.278)  -0.01
Cr (0.018, 0.018, 0.948)  2.94
Cr (0.728, 0.728, 0.805)  -2.92
Mg (0.500, 0.500, 0.469)  0.00

Computed properties:
E_form	1.41	eV/f.u.
final energy	-22.3	eV for the cell shown
calculated density	5.94	Mg/m³
space-group type	No. 8

Density functional theory data (PBE-GGA) for a geometry-optimized Be2RuW structure.

Unit cell a=4.106 b=4.106 c=4.106 alpha=60.00 beta=60.00 gamma=60.00
Element x y z (fractional)
Ru (0.500, 0.500, 0.500)
W (0.750, 0.750, 0.750)
Be (0.000, 0.000, 0.000)
Be (0.250, 0.250, 0.250)

Computed properties:
polymorph energy (0 for the lowest one)	134	meV per atom
E_form	-0.13	eV/f.u.
final energy	-29.8	eV for the cell shown
calculated density	10.27	Mg/m³
space-group type	No. 216

Density functional theory data (PBE-GGA) for a geometry-optimized RbTeS2 structure.

Unit cell a=4.329 b=4.329 c=7.729 alpha=73.74 beta=73.74 gamma=60.00
Element x y z (fractional)
Rb (0.498, 0.498, 0.507)
Te (0.668, 0.668, 0.997)
S (0.060, 0.060, 0.821)
S (0.275, 0.275, 0.176)

Computed properties:
final energy	-13.7	eV for the cell shown
formation energy from raw total energies	-0.3233	eV/atom
calculated density	3.88	Mg/m³
space-group type	No. 160

| no. | DOS at the Fermi energy (states/eV/f.u.) | magnetic moment (μB/atom) |
| --- | --- | --- |
| 1 | 3.91 | 0.86 |
| 2 | 3.70 | 0.47 |
| 3 | 3.79 | 0.00 |
| 4 | 4.78 | 0.39 |
| 5 | 0.06 | 0.00 |
| 6 | 2.15 | 0.01 |
| 7 | 0.46 | 0.00 |
| 8 | 2.13 | 0.00 |